Entry 1:
Sm4In2Ru PBE-GGA relaxed; M_tot = 0.000 μB/atom; energy = -5.036 eV/atom; offset from the most stable computed form = 0.135 eV per atom; E_form = -0.23 eV per atom
1.0
3.5311 0.0000 0.0000
0.0000 6.7721 -0.0809
0.0000 -3.6012 8.7351
In Sm Ru
2 4 1
Direct
0.5000 0.2924 0.5711 In
0.5000 0.8505 0.5718 In
0.0000 0.4352 0.3251 Sm
0.0000 0.7076 0.8178 Sm
0.5000 0.8868 0.2203 Sm
0.5000 0.2560 0.9226 Sm
0.0000 0.0714 0.0714 Ru

---

Entry 2:
Th3W PBE-GGA relaxed; M_tot = 0.000 μB/atom; energy = -8.351 eV/atom; E_form = 0.45 eV per atom
1.0
-2.3163 -1.0082 -5.4683
4.0526 -0.0209 -4.4565
-0.4358 -2.6928 5.3706
Th W
3 1
Direct
0.7500 0.2500 0.5000 Th
0.2500 0.7500 0.5000 Th
0.5000 0.5000 0.0000 Th
0.0000 0.0000 0.0000 W

---

Entry 3:
Pm4TmIn3 PBE-GGA relaxed; M_tot = 0.002 μB/atom; energy = -4.292 eV/atom; E_form = -0.33 eV per atom
1.0
-2.5892 4.5760 1.4931
-4.8616 1.2238 -2.1773
-6.6368 -2.6094 6.4923
Tm In Pm
1 3 4
Direct
0.0000 0.0000 0.0000 Tm
0.2591 0.2591 0.2228 In
0.5000 0.5000 0.5000 In
0.7409 0.7409 0.7772 In
0.8698 0.8698 0.3907 Pm
0.3818 0.3818 0.8547 Pm
0.6182 0.6182 0.1453 Pm
0.1302 0.1302 0.6093 Pm

---

Entry 4:
Mg3AgP PBE-GGA relaxed; M_tot = 0.000 μB/atom; energy = -2.221 eV/atom; offset from the most stable computed form = 0.411 eV per atom; E_form = 0.39 eV per atom
1.0
-1.0333 -2.6698 -4.0905
-3.0670 -2.8995 2.6672
-3.8018 3.0647 -1.0399
Mg P Ag
3 1 1
Direct
0.0000 0.0000 0.5000 Mg
0.0000 0.5000 0.0000 Mg
0.5000 0.0000 0.0000 Mg
0.5000 0.5000 0.5000 P
0.0000 0.0000 0.0000 Ag

---

> Number 1 is which compound?

Sm4In2Ru